#1
Material: Ba2InBr2
Method: DFT, PBE-GGA
State: relaxed

Calculated values
* crystal system: tetragonal
* magnetic moment: 0.00 μB/cell

Cell lengths 9.5595, 9.5595, 3.9929 Å; angles 90.00, 90.00, 90.00 degrees
Space group P4/mbm (No. 127)
Inequivalent atoms, fractional coordinates:
Ba 0.1795 0.3205 0.0000 [4 per cell]
In 0.0000 0.0000 0.5000 [2 per cell]
Br 0.1237 0.6237 0.5000 [4 per cell]

***

#2
Material: Ba2InBr2
Method: DFT, PBE-GGA
State: relaxed

Calculated values
* crystal system: tetragonal
* magnetic moment: 1.70 μB/cell

Cell lengths 6.4468, 6.4468, 9.8505 Å; angles 90.00, 90.00, 90.00 degrees
Space group I4/mmm (No. 139)
Inequivalent atoms, fractional coordinates:
Ba 0.0000 0.5000 0.2500 [4 per cell]
In 0.0000 0.0000 0.0000 [2 per cell]
Br 0.0000 0.0000 0.3223 [4 per cell]

***

#1 has the most favorable energy; the next structure is 2.5 kJ/mol of atoms above.

***

#1
Material: Ba3InBr
Method: DFT, PBE-GGA
State: relaxed

Calculated values
* crystal system: cubic
* magnetic moment: 0.00 μB/cell

Cell lengths 6.2288, 6.2288, 6.2288 Å; angles 90.00, 90.00, 90.00 degrees
Space group Pm-3m (No. 221)
Inequivalent atoms, fractional coordinates:
Ba 0.0000 0.0000 0.5000 [3 per cell]
In 0.5000 0.5000 0.5000 [1 per cell]
Br 0.0000 0.0000 0.0000 [1 per cell]

***

#2
Material: Ba3InBr
Method: DFT, PBE-GGA
State: relaxed

Calculated values
* crystal system: monoclinic
* magnetic moment: 0.57 μB/cell

Cell lengths 9.7214, 4.9327, 9.8360 Å; angles 90.00, 104.77, 90.00 degrees
Space group P2_1/m (No. 11)
Inequivalent atoms, fractional coordinates:
Ba 0.0738 0.2500 0.2646 [2 per cell]
Ba 0.3180 0.2500 0.9703 [2 per cell]
Ba 0.3907 0.7500 0.6175 [2 per cell]
In 0.3360 0.7500 0.2312 [2 per cell]
Br 0.1346 0.2500 0.6270 [2 per cell]

***

#2 has the most favorable energy; the next structure is 24.1 kJ/mol of atoms above.

***

#1
Material: BaInSe2Br
Method: DFT, PBE-GGA
State: relaxed

Calculated values
* crystal system: tetragonal
* magnetic moment: 2.02 μB/cell

Cell lengths 6.2678, 6.2678, 6.2587 Å; angles 90.00, 90.00, 90.00 degrees
Space group P4/mmm (No. 123)
Inequivalent atoms, fractional coordinates:
Ba 0.0000 0.0000 0.0000 [1 per cell]
In 0.5000 0.5000 0.5000 [1 per cell]
Se 0.0000 0.5000 0.0000 [2 per cell]
Br 0.0000 0.0000 0.5000 [1 per cell]

***

#2
Material: BaInSe2Br
Method: DFT, PBE-GGA
State: relaxed

Calculated values
* crystal system: tetragonal
* magnetic moment: 0.00 μB/cell

Cell lengths 5.3688, 5.3688, 5.5372 Å; angles 90.00, 90.00, 90.00 degrees
Space group P4/mmm (No. 123)
Inequivalent atoms, fractional coordinates:
Ba 0.0000 0.0000 0.0000 [1 per cell]
In 0.5000 0.5000 0.5000 [1 per cell]
Se 0.0000 0.5000 0.5000 [2 per cell]
Br 0.5000 0.5000 0.0000 [1 per cell]

***

#2 has the most favorable energy; the next structure is 62.2 kJ/mol of atoms above.

***

#1
Material: BaIrBr
Method: DFT, PBE-GGA
State: relaxed

Calculated values
* crystal system: orthorhombic
* magnetic moment: 0.00 μB/cell

Cell lengths 6.1088, 9.6093, 5.7517 Å; angles 90.00, 90.00, 90.00 degrees
Space group Imma (No. 74)
Inequivalent atoms, fractional coordinates:
Ba 0.0000 0.0000 0.0000 [4 per cell]
Ir 0.0000 0.2500 0.3633 [4 per cell]
Br 0.2500 0.2500 0.7500 [4 per cell]

***

#2
Material: BaIrBr
Method: DFT, PBE-GGA
State: relaxed

Calculated values
* crystal system: orthorhombic
* magnetic moment: 0.00 μB/cell

Cell lengths 4.4731, 8.8590, 9.3144 Å; angles 90.00, 90.00, 90.00 degrees
Space group Imma (No. 74)
Inequivalent atoms, fractional coordinates:
Ba 0.0000 0.0000 0.0000 [4 per cell]
Ir 0.0000 0.2500 0.2966 [4 per cell]
Br 0.0000 0.2500 0.6097 [4 per cell]

***

#3
Material: BaIrBr
Method: DFT, PBE-GGA
State: relaxed

Calculated values
* crystal system: monoclinic
* magnetic moment: 0.00 μB/cell

Cell lengths 7.4756, 4.4215, 12.4038 Å; angles 90.00, 90.97, 90.00 degrees
Space group C2/m (No. 12)
Inequivalent atoms, fractional coordinates:
Ba 0.0046 0.0000 0.1998 [4 per cell]
Ir 0.1775 0.5000 0.9995 [4 per cell]
Br 0.1705 0.5000 0.3547 [4 per cell]

***

#3 has the most favorable energy; the next structure is 21.3 kJ/mol of atoms above.

***

#1
Material: BaIrBr
Method: DFT, PBE-GGA
State: relaxed

Calculated values
* crystal system: tetragonal
* magnetic moment: 0.00 μB/cell

Cell lengths 4.4119, 4.4119, 10.4736 Å; angles 90.00, 90.00, 90.00 degrees
Space group I4mm (No. 107)
Inequivalent atoms, fractional coordinates:
Ba 0.0000 0.0000 0.0000 [2 per cell]
Ir 0.0000 0.0000 0.5609 [2 per cell]
Br 0.0000 0.0000 0.3321 [2 per cell]

***

#2
Material: BaIrBr
Method: DFT, PBE-GGA
State: relaxed

Calculated values
* crystal system: monoclinic
* magnetic moment: 0.00 μB/cell

Cell lengths 19.2011, 4.3902, 5.2740 Å; angles 90.00, 100.40, 90.00 degrees
Space group Cm (No. 8)
Inequivalent atoms, fractional coordinates:
Ba 0.0000 0.0000 0.0000 [2 per cell]
Ba 0.2257 0.5000 0.8402 [2 per cell]
Ir 0.1223 0.5000 0.3105 [2 per cell]
Ir 0.1663 0.0000 0.2778 [2 per cell]
Br 0.0035 0.5000 0.5246 [2 per cell]
Br 0.3601 0.0000 0.9221 [2 per cell]

***

#2 has the most favorable energy; the next structure is 80.2 kJ/mol of atoms above.

***

#1
Material: BaIrSe2Br
Method: DFT, PBE-GGA
State: relaxed

Calculated values
* crystal system: tetragonal
* magnetic moment: 6.02 μB/cell

Cell lengths 6.3681, 6.3681, 6.1823 Å; angles 90.00, 90.00, 90.00 degrees
Space group P4/mmm (No. 123)
Inequivalent atoms, fractional coordinates:
Ba 0.0000 0.0000 0.0000 [1 per cell]
Ir 0.5000 0.5000 0.5000 [1 per cell]
Se 0.0000 0.5000 0.0000 [2 per cell]
Br 0.0000 0.0000 0.5000 [1 per cell]

***

#2
Material: BaIrSe2Br
Method: DFT, PBE-GGA
State: relaxed

Calculated values
* crystal system: tetragonal
* magnetic moment: 0.00 μB/cell

Cell lengths 5.0223, 5.0223, 5.2884 Å; angles 90.00, 90.00, 90.00 degrees
Space group P4/mmm (No. 123)
Inequivalent atoms, fractional coordinates:
Ba 0.0000 0.0000 0.0000 [1 per cell]
Ir 0.5000 0.5000 0.5000 [1 per cell]
Se 0.0000 0.5000 0.5000 [2 per cell]
Br 0.5000 0.5000 0.0000 [1 per cell]

***

#2 has the most favorable energy; the next structure is 164.3 kJ/mol of atoms above.